NaGdGaBi | Alexandria via LeMat-Bulk | PBE | relaxed; calculated formation energy = -326 meV/atom; SG = F-43m; DFT total energy = -0.217 hartree per atom; magnetic moment = 7.01 μB per formula unit; density of states at the Fermi level = 3.043 states/eV per cell
1.0
0.000 3.770 3.770
3.770 0.000 3.770
3.770 3.770 0.000
Na Gd Ga Bi
1 1 1 1
Direct
0.000 0.000 0.000 Na
0.500 0.500 0.500 Gd
0.750 0.750 0.750 Ga
0.250 0.250 0.250 Bi

=====

Ga2Ge2Bi | Alexandria via LeMat-Bulk | PBE | relaxed; calculated formation energy = 157 meV/atom; SG = P4/mbm; DFT total energy = -0.135 hartree per atom; magnetic moment = 0.00 μB per formula unit; density of states at the Fermi level = 4.929 states/eV per cell; energy relative to the lowest polymorph listed for this composition = 0.000 eV per atom
1.0
8.289 0.000 0.000
0.000 8.289 0.000
0.000 0.000 3.183
Ga Ge Bi
4 4 2
Direct
0.142 0.358 0.000 Ga
0.358 0.858 0.000 Ga
0.642 0.142 0.000 Ga
0.858 0.642 0.000 Ga
0.152 0.652 0.500 Ge
0.348 0.152 0.500 Ge
0.652 0.848 0.500 Ge
0.848 0.348 0.500 Ge
0.000 0.000 0.500 Bi
0.500 0.500 0.500 Bi

=====

GaGeBi2 | Alexandria via LeMat-Bulk | PBE | relaxed; calculated formation energy = 183 meV/atom; SG = P4/mmm; DFT total energy = -0.135 hartree per atom; magnetic moment = 0.00 μB per formula unit; density of states at the Fermi level = 1.522 states/eV per cell
1.0
3.674 0.000 0.000
0.000 3.674 0.000
0.000 0.000 7.666
Ga Ge Bi
1 1 2
Direct
0.000 0.000 0.000 Ga
0.000 0.000 0.500 Ge
0.500 0.500 0.261 Bi
0.500 0.500 0.739 Bi

=====

GaGeBi2 | Alexandria via LeMat-Bulk | PBE | relaxed; calculated formation energy = 187 meV/atom; SG = I-42d; DFT total energy = -0.135 hartree per atom; magnetic moment = 0.00 μB per formula unit; density of states at the Fermi level = 3.641 states/eV per cell
1.0
-3.272 3.272 6.619
3.272 -3.272 6.619
3.272 3.272 -6.619
Ga Ge Bi
2 2 4
Direct
0.000 0.000 0.000 Ga
0.750 0.250 0.500 Ga
0.250 0.750 0.500 Ge
0.500 0.500 0.000 Ge
0.121 0.625 0.996 Bi
0.375 0.371 0.496 Bi
0.629 0.125 0.004 Bi
0.875 0.879 0.504 Bi

=====

Ga12Ge5Bi3 | Alexandria via LeMat-Bulk | PBE | relaxed; calculated formation energy = 184 meV/atom; SG = Ia-3d; DFT total energy = -0.124 hartree per atom; magnetic moment = 0.00 μB per formula unit; density of states at the Fermi level = 60.374 states/eV per cell
1.0
-8.029 8.029 8.029
8.029 -8.029 8.029
8.029 8.029 -8.029
Ga Ge Bi
48 20 12
Direct
0.040 0.213 0.122 Ga
0.040 0.328 0.918 Ga
0.082 0.622 0.410 Ga
0.082 0.960 0.672 Ga
0.090 0.713 0.672 Ga
0.090 0.878 0.418 Ga
0.122 0.040 0.213 Ga
0.122 0.582 0.910 Ga
0.172 0.213 0.590 Ga
0.172 0.460 0.582 Ga
0.213 0.122 0.040 Ga
0.213 0.590 0.172 Ga
0.287 0.328 0.910 Ga
0.287 0.460 0.378 Ga
0.328 0.910 0.287 Ga
0.328 0.918 0.040 Ga
0.378 0.287 0.460 Ga
0.378 0.590 0.918 Ga
0.410 0.082 0.622 Ga
0.410 0.828 0.787 Ga
0.418 0.090 0.878 Ga
0.418 0.828 0.540 Ga
0.460 0.378 0.287 Ga
0.460 0.582 0.172 Ga
0.540 0.418 0.828 Ga
0.540 0.622 0.713 Ga
0.582 0.172 0.460 Ga
0.582 0.910 0.122 Ga
0.590 0.172 0.213 Ga
0.590 0.918 0.378 Ga
0.622 0.410 0.082 Ga
0.622 0.713 0.540 Ga
0.672 0.082 0.960 Ga
0.672 0.090 0.713 Ga
0.713 0.540 0.622 Ga
0.713 0.672 0.090 Ga
0.787 0.410 0.828 Ga
0.787 0.878 0.960 Ga
0.828 0.540 0.418 Ga
0.828 0.787 0.410 Ga
0.878 0.418 0.090 Ga
0.878 0.960 0.787 Ga
0.910 0.122 0.582 Ga
0.910 0.287 0.328 Ga
0.918 0.040 0.328 Ga
0.918 0.378 0.590 Ga
0.960 0.672 0.082 Ga
0.960 0.787 0.878 Ga
0.000 0.000 0.000 Ge
0.000 0.000 0.500 Ge
0.000 0.500 0.000 Ge
0.000 0.500 0.500 Ge
0.125 0.750 0.875 Ge
0.125 0.875 0.250 Ge
0.250 0.125 0.875 Ge
0.250 0.625 0.375 Ge
0.375 0.250 0.625 Ge
0.375 0.625 0.750 Ge
0.500 0.000 0.000 Ge
0.500 0.000 0.500 Ge
0.500 0.500 0.000 Ge
0.500 0.500 0.500 Ge
0.625 0.375 0.250 Ge
0.625 0.750 0.375 Ge
0.750 0.375 0.625 Ge
0.750 0.875 0.125 Ge
0.875 0.125 0.750 Ge
0.875 0.250 0.125 Ge
0.125 0.250 0.375 Bi
0.125 0.375 0.750 Bi
0.250 0.375 0.125 Bi
0.250 0.875 0.625 Bi
0.375 0.125 0.250 Bi
0.375 0.750 0.125 Bi
0.625 0.250 0.875 Bi
0.625 0.875 0.750 Bi
0.750 0.125 0.375 Bi
0.750 0.625 0.875 Bi
0.875 0.625 0.250 Bi
0.875 0.750 0.625 Bi

=====

GaGe2Bi2 | Alexandria via LeMat-Bulk | PBE | relaxed; calculated formation energy = 193 meV/atom; SG = I4/mmm; DFT total energy = -0.140 hartree per atom; magnetic moment = 0.00 μB per formula unit; density of states at the Fermi level = 2.164 states/eV per cell; energy relative to the lowest polymorph listed for this composition = 0.000 eV per atom
1.0
-1.906 1.906 8.749
1.906 -1.906 8.749
1.906 1.906 -8.749
Ga Ge Bi
1 2 2
Direct
0.000 0.000 0.000 Ga
0.250 0.750 0.500 Ge
0.750 0.250 0.500 Ge
0.402 0.402 0.000 Bi
0.598 0.598 0.000 Bi

=====

GaGeBi3 | Alexandria via LeMat-Bulk | PBE | relaxed; calculated formation energy = 572 meV/atom; SG = Pm-3m; DFT total energy = -0.121 hartree per atom; magnetic moment = 0.00 μB per formula unit; density of states at the Fermi level = 2.962 states/eV per cell; energy relative to the lowest polymorph listed for this composition = 0.000 eV per atom
1.0
5.571 0.000 0.000
0.000 5.571 0.000
0.000 0.000 5.571
Ga Ge Bi
1 1 3
Direct
0.000 0.000 0.000 Ga
0.500 0.500 0.500 Ge
0.000 0.500 0.500 Bi
0.500 0.000 0.500 Bi
0.500 0.500 0.000 Bi

=====

Ga2Ge2Bi | Alexandria via LeMat-Bulk | PBE | relaxed; calculated formation energy = 175 meV/atom; SG = P4/mbm; DFT total energy = -0.134 hartree per atom; magnetic moment = 0.00 μB per formula unit; density of states at the Fermi level = 3.938 states/eV per cell; energy relative to the lowest polymorph listed for this composition = 0.018 eV per atom
1.0
8.062 0.000 0.000
0.000 8.062 0.000
0.000 0.000 3.376
Ga Ge Bi
4 4 2
Direct
0.155 0.345 0.000 Ga
0.345 0.845 0.000 Ga
0.655 0.155 0.000 Ga
0.845 0.655 0.000 Ga
0.125 0.625 0.500 Ge
0.375 0.125 0.500 Ge
0.625 0.875 0.500 Ge
0.875 0.375 0.500 Ge
0.000 0.000 0.000 Bi
0.500 0.500 0.000 Bi